No. 1
Entry from Alexandria via LeMat-Bulk: a geometry-optimized Cd3InRh structure (GGA-PBE).

Calculated volume, Å³/atom: 23.799
ΔE_f, meV per atom: -38.0
DOS at the Fermi energy, states/eV per cell: 3.71
Distance to the lowest polymorph of the same formula, meV per atom: 0
SG: C2/m, No. 12

Cell: 6.9393 6.9393 6.6466 Å, 106.38 116.72 107.42°
Closest atoms and distances in Å follow each position.
Sites, in units of the cell vectors:
Cd 0.8680 0.0729 0.2988  2 Rh 2.69-2.81, 1 Cd 2.94
Cd 0.2259 0.4308 0.2988  2 Rh 2.69-2.81, 1 Cd 2.94
Cd 0.7741 0.5692 0.7012  2 Rh 2.69-2.81, 1 Cd 2.94
Cd 0.7092 0.4442 0.1534  2 Rh 2.70-2.78, 1 In 2.96
Cd 0.1320 0.9271 0.7012  2 Rh 2.69-2.81, 1 Cd 2.94
Cd 0.2908 0.5558 0.8466  2 Rh 2.70-2.78, 1 In 2.96
In 0.7057 0.0801 0.7857  2 Rh 2.63-2.73
In 0.2943 0.9199 0.2143  2 Rh 2.63-2.73
Rh 0.6191 0.7609 0.3800  2 In 2.63-2.73, 6 Cd 2.69-2.81
Rh 0.3809 0.2391 0.6200  2 In 2.63-2.73, 6 Cd 2.69-2.81


No. 2
Entry from Alexandria via LeMat-Bulk: a geometry-optimized CeZn9Cd2 structure (GGA-PBE).

Calculated volume, Å³/atom: 17.483
ΔE_f, meV per atom: -102.5
DOS at the Fermi energy, states/eV per cell: 9.58
Distance to the lowest polymorph of the same formula, meV per atom: 0
SG: R-3m, No. 166

Cell: 5.3562 5.3562 8.9927 Å, 72.67 72.67 60.00°
Closest atoms and distances in Å follow each position.
Sites, in units of the cell vectors:
Ce 0.0000 0.0000 0.0000  18 Zn 3.09-3.44
Zn 0.6668 0.6668 0.9995  6 Zn 2.64-2.67
Zn 0.3332 0.3332 0.0005  6 Zn 2.64-2.67
Zn 0.5000 0.5000 0.5000  6 Zn 2.59
Zn 0.4126 0.4126 0.2559  7 Zn 2.59-2.71
Zn 0.9190 0.4126 0.2559  7 Zn 2.59-2.71
Zn 0.4126 0.9190 0.2559  7 Zn 2.59-2.71
Zn 0.5874 0.5874 0.7441  7 Zn 2.59-2.71
Zn 0.5874 0.0810 0.7441  7 Zn 2.59-2.71
Zn 0.0810 0.5874 0.7441  7 Zn 2.59-2.71
Cd 0.8622 0.8622 0.4133  12 Zn 2.99-3.18
Cd 0.1378 0.1378 0.5867  12 Zn 2.99-3.18


No. 3
Entry from Alexandria via LeMat-Bulk: a geometry-optimized La7Ge2Rh2 structure (GGA-PBE).

Calculated volume, Å³/atom: 28.826
ΔE_f, meV per atom: -614.6
DOS at the Fermi energy, states/eV per cell: 13.00
SG: Imm2, No. 44

Cell: 4.3990 9.1147 9.1147 Å, 64.88 76.04 76.04°
Closest atoms and distances in Å follow each position.
Sites, in units of the cell vectors:
La 0.8185 0.0534 0.3095  1 Rh 2.75, 2 Ge 3.07
La 0.8718 0.4130 0.8433  2 Rh 2.96
La 0.5000 0.0150 0.9850  3 Rh 3.00-3.21
La 0.6093 0.4993 0.2821  3 Rh 3.05-3.34, 1 La 3.22, 2 Ge 3.24
La 0.3907 0.7179 0.5007  3 Rh 3.05-3.34, 1 La 3.22, 2 Ge 3.24
La 0.1815 0.6905 0.9466  1 Rh 2.75, 2 Ge 3.07
La 0.1282 0.1567 0.5870  2 Rh 2.96
Ge 0.7302 0.8488 0.6908  7 La 3.07-3.34
Ge 0.2698 0.3092 0.1512  7 La 3.07-3.34
Rh 0.0000 0.8064 0.1936  4 La 2.75-3.00
Rh 0.5000 0.3437 0.6563  7 La 2.96-3.21


No. 4
Entry from Alexandria via LeMat-Bulk: a geometry-optimized BeW2Cl structure (GGA-PBE).

Calculated volume, Å³/atom: 15.348
Energy relative to the elements, uncorrected, meV per atom: 595.6
DOS at the Fermi energy, states/eV per cell: 1.94
Distance to the lowest polymorph of the same formula, meV per atom: 282
SG: P4/mmm, No. 123

Cell: 3.0236 3.0236 6.7154 Å, 90.00 90.00 90.00°
Closest atoms and distances in Å follow each position.
Sites, in units of the cell vectors:
Be 0.5000 0.5000 0.2500  8 W 2.46
W 0.0000 0.0000 0.0703  1 W 2.41, 4 Be 2.46
W 0.0000 0.0000 0.4297  1 W 2.41, 4 Be 2.46
Cl 0.5000 0.5000 0.7500  4 Cl 3.02, 8 W 3.03, 2 Be 3.36